# 1
The following is a GGA-PBE calculation of crystalline LiAsPd5 at its relaxed geometry, from OQMD via LeMat-Bulk.

E, eV per cell: -35.0

Cell: 3.993 3.993 6.951 Å, 90.00 90.00 90.00°
Sites, in units of the cell vectors:
1 Pd 0.000 0.000 0.000
2 Pd 0.500 0.000 0.718
3 Li 0.500 0.500 0.000
4 As 0.000 0.000 0.500
5 Pd 0.000 0.500 0.718
6 Pd 0.000 0.500 0.282
7 Pd 0.500 0.000 0.282

# 2
The following is a GGA-PBE calculation of crystalline Li3As2Pd4 at its relaxed geometry, from OQMD via LeMat-Bulk.

E, eV per cell: -41.0

Cell: 6.864 6.864 4.906 Å, 98.52 98.52 36.47°
Sites, in units of the cell vectors:
1 As 0.370 0.370 0.223
2 Li 0.158 0.158 0.109
3 As 0.630 0.630 0.777
4 Pd 0.565 0.565 0.263
5 Li 0.842 0.842 0.891
6 Pd 0.790 0.790 0.370
7 Pd 0.210 0.210 0.630
8 Pd 0.435 0.435 0.737
9 Li 0.000 0.000 0.500